Record 1
# K2CaMn | Alexandria via LeMat-Bulk | PBE-GGA | optimized geometry
data_K2CaMn
_symmetry_space_group_name_H-M 'P 1'
_symmetry_Int_Tables_number 1
_cell_length_a 10.6955
_cell_length_b 10.6955
_cell_length_c 4.8443
_cell_angle_alpha 76.91
_cell_angle_beta 76.91
_cell_angle_gamma 21.22
loop_
_symmetry_equiv_pos_as_xyz
'x,y,z'
loop_
_atom_site_label
_atom_site_fract_x
_atom_site_fract_y
_atom_site_fract_z
Ca1 0.2500 0.2500 0.2500
K1 0.0909 0.0909 0.9092
K2 0.4091 0.4091 0.5908
Mn1 0.7500 0.7500 0.7500
# * density of states at the Fermi level: 0.9111 states/eV per atom
# * ΔE to the lowest computed polymorph: 50 meV/atom
# * symmetry: Immm


Record 2
# PmNdErTl | Alexandria via LeMat-Bulk | PBE-GGA | optimized geometry
data_PmNdErTl
_symmetry_space_group_name_H-M 'P 1'
_symmetry_Int_Tables_number 1
_cell_length_a 5.0041
_cell_length_b 4.8804
_cell_length_c 4.8943
_cell_angle_alpha 90.00
_cell_angle_beta 90.00
_cell_angle_gamma 90.00
loop_
_symmetry_equiv_pos_as_xyz
'x,y,z'
loop_
_atom_site_label
_atom_site_fract_x
_atom_site_fract_y
_atom_site_fract_z
Pm1 0.5000 0.5000 0.0000
Nd1 0.5000 0.0000 0.5000
Er1 0.0000 0.5000 0.5000
Tl1 0.0000 0.0000 0.0000
# * density of states at the Fermi level: 1.4499 states/eV per atom
# * ΔE to the lowest computed polymorph: 0 meV/atom
# * symmetry: Pmmm


Record 3
# CoIBrN2 | Alexandria via LeMat-Bulk | PBE-GGA | optimized geometry
data_CoIBrN2
_symmetry_space_group_name_H-M 'P 1'
_symmetry_Int_Tables_number 1
_cell_length_a 3.8898
_cell_length_b 3.8898
_cell_length_c 7.7435
_cell_angle_alpha 90.00
_cell_angle_beta 90.00
_cell_angle_gamma 90.00
loop_
_symmetry_equiv_pos_as_xyz
'x,y,z'
loop_
_atom_site_label
_atom_site_fract_x
_atom_site_fract_y
_atom_site_fract_z
I1 0.0000 0.0000 0.5000
Co1 0.5000 0.5000 0.5000
Br1 0.0000 0.0000 0.0000
N1 0.0000 0.5000 0.0000
N2 0.5000 0.0000 0.0000
# * raw formation energy: 2.197 eV per atom
# * density of states at the Fermi level: 0.8955 states/eV per atom
# * ΔE to the lowest computed polymorph: 783 meV/atom
# * symmetry: P4/mmm


Record 4
# Ta2Ti2Hg | Alexandria via LeMat-Bulk | PBE-GGA | optimized geometry
data_Ta2Ti2Hg
_symmetry_space_group_name_H-M 'P 1'
_symmetry_Int_Tables_number 1
_cell_length_a 7.1588
_cell_length_b 7.1588
_cell_length_c 3.5927
_cell_angle_alpha 90.00
_cell_angle_beta 90.00
_cell_angle_gamma 90.00
loop_
_symmetry_equiv_pos_as_xyz
'x,y,z'
loop_
_atom_site_label
_atom_site_fract_x
_atom_site_fract_y
_atom_site_fract_z
Ti1 0.3708 0.8708 0.0000
Ti2 0.8708 0.6292 0.0000
Ti3 0.6292 0.1292 0.0000
Ti4 0.1292 0.3708 0.0000
Hg1 0.0000 0.0000 0.0000
Hg2 0.5000 0.5000 0.0000
Ta1 0.1674 0.6674 0.5000
Ta2 0.6674 0.8326 0.5000
Ta3 0.8326 0.3326 0.5000
Ta4 0.3326 0.1674 0.5000
# * density of states at the Fermi level: 1.3859 states/eV per atom
# * ΔE to the lowest computed polymorph: 228 meV/atom
# * symmetry: P4/mbm